Record 1
First-principles (PBE) data for an optimized crystal structure of RbSe4, as listed in the Alexandria database.

Cell: 7.631 5.394 9.805 Å, 111.34 90.00 90.00°
Fractional coordinates of all 10 atoms:
Rb 0.000 0.000 0.000
Rb 0.500 0.000 0.500
Se 0.618 0.705 0.773
Se 0.118 0.295 0.727
Se 0.874 0.474 0.632
Se 0.126 0.526 0.368
Se 0.626 0.474 0.132
Se 0.382 0.295 0.227
Se 0.882 0.705 0.273
Se 0.374 0.526 0.868

Properties
E_form (uncorrected) in eV per atom: -0.363
Electronic total energy in eV/atom: -3.344
E above lowest polymorph in eV per atom: 0.007

***

Record 2
First-principles (PBE) data for an optimized crystal structure of La4TbEr, as listed in the Alexandria database.

Cell: 6.052 6.474 7.059 Å, 92.46 64.62 62.14°
Fractional coordinates of all 6 atoms:
La 0.649 0.690 0.012
La 0.144 0.186 0.526
La 0.351 0.310 0.988
La 0.856 0.814 0.474
Tb 0.500 0.500 0.500
Er 0.000 0.000 0.000

Properties
E_form in eV per atom: 0.105
Electronic total energy in eV/atom: -4.712
E above lowest polymorph in eV per atom: 0.011

***

Record 3
First-principles (PBE) data for an optimized crystal structure of Ni5H3Rh, as listed in the Alexandria database.

Cell: 4.387 4.387 7.950 Å, 90.00 90.00 87.54°
Fractional coordinates of all 18 atoms:
Ni 0.293 0.712 0.161
Ni 0.789 0.789 0.330
Ni 0.712 0.293 0.839
Ni 0.293 0.712 0.839
Ni 0.712 0.293 0.500
Ni 0.789 0.789 0.670
Ni 0.791 0.791 0.000
Ni 0.712 0.293 0.161
Ni 0.215 0.215 0.000
Ni 0.293 0.712 0.500
H 0.507 0.507 0.000
H 0.983 0.983 0.839
H 0.969 0.969 0.500
H 0.983 0.983 0.161
H 0.515 0.515 0.668
H 0.515 0.515 0.332
Rh 0.214 0.214 0.329
Rh 0.214 0.214 0.671

Properties
Electronic total energy in eV/atom: -5.113

***

Record 4
First-principles (PBE) data for an optimized crystal structure of AgPb2Br, as listed in the Alexandria database.

Cell: 7.904 5.887 3.417 Å, 77.02 84.39 130.01°
Fractional coordinates of all 4 atoms:
Pb 0.500 0.000 0.500
Pb 0.000 0.000 0.000
Ag 0.000 0.500 0.500
Br 0.500 0.500 0.000

Properties
E_form (uncorrected) in eV per atom: -0.080
Electronic total energy in eV/atom: -3.065
E above lowest polymorph in eV per atom: 0.054